A | PBE-GGA ScFe3Sn, relaxed; total moment = 6.40 μB/f.u.
1.0
4.508 0.000 0.000
0.000 4.508 0.000
0.000 0.000 4.508
Sc Sn Fe
1 1 3
direct
0.000 0.000 0.000
0.500 0.500 0.500
0.000 0.500 0.000
0.000 0.000 0.500
0.500 0.000 0.000

***

B | PBE-GGA ScFe3Sn, relaxed; total moment = 7.05 μB/f.u.
1.0
-1.283 -0.460 4.542
-1.654 -4.350 -0.908
4.255 -1.830 1.016
Sc Sn Fe
1 1 3
direct
0.500 0.500 0.500
0.000 0.000 0.000
0.000 0.500 0.000
0.000 0.000 0.500
0.500 0.000 0.000

***

Short version: B is the most stable of them.

***

A | PBE-GGA SrScFe, relaxed; total moment = 0.74 μB/f.u.
1.0
4.473 0.000 0.000
-2.236 3.874 0.000
0.000 0.000 4.739
Fe Sc Sr
1 1 1
direct
0.000 0.000 0.166
0.667 0.333 0.167
0.333 0.667 0.667

***

B | PBE-GGA SrScFe, relaxed; total moment = 1.79 μB/f.u.
1.0
4.998 0.000 0.000
2.499 4.328 0.000
2.499 1.443 4.081
Fe Sc Sr
1 1 1
direct
0.000 0.000 0.000
0.500 0.500 0.500
0.750 0.750 0.750

***

Short version: A is the most stable of them.

***

A | PBE-GGA SrScFe, relaxed; total moment = 1.28 μB/f.u.
1.0
6.646 -0.108 0.114
5.776 3.290 0.133
0.870 0.206 3.392
Fe Sc Sr
1 1 1
direct
0.969 0.969 0.031
0.382 0.382 0.618
0.649 0.649 0.351

***

B | PBE-GGA SrScFe, relaxed; total moment = 1.02 μB/f.u.
1.0
3.679 0.000 0.000
-1.840 3.186 0.000
0.000 0.000 6.894
Fe Sc Sr
1 1 1
direct
0.000 0.000 0.031
0.333 0.667 0.244
0.667 0.333 0.725

***

Short version: A is the most stable of them.

***

A | PBE-GGA Sc3TaFe, relaxed; total moment = 0.00 μB/f.u.
1.0
4.731 0.000 0.000
0.000 4.731 0.000
0.000 0.000 4.731
Sc Fe Ta
3 1 1
direct
0.000 0.500 0.000
0.000 0.000 0.500
0.500 0.000 0.000
0.000 0.000 0.000
0.500 0.500 0.500

***

B | PBE-GGA Sc3TaFe, relaxed; total moment = 2.71 μB/f.u.
1.0
5.068 0.000 0.000
0.000 5.068 0.000
0.000 0.000 5.068
Sc Fe Ta
3 1 1
direct
0.000 0.500 0.000
0.000 0.000 0.500
0.500 0.000 0.000
0.500 0.500 0.500
0.000 0.000 0.000

***

Short version: A is the most stable of them.